VASP calculation (GGA+U) on an optimized crystal structure of NaTbMo2O8.

abc: 6.205 6.205 6.205
angles: 106.32 106.32 115.98
Element x y z (fractional)
O 0.855 0.659 0.196
O 0.389 0.072 0.316
O 0.928 0.244 0.316
O 0.341 0.538 0.196
O 0.341 0.145 0.804
O 0.462 0.659 0.804
O 0.756 0.072 0.684
O 0.928 0.611 0.684
Mo 0.500 0.500 0.000
Mo 0.750 0.250 0.500
Tb 0.250 0.750 0.500
Na 0.000 0.000 0.000

The uncorrected energy comes out at -7.11 eV per atom. The magnetization comes out at 0.00 μB per cell. Its symmetry is No. 119.